Record 1
Density functional theory data (PBEsol) for crystalline Li2MnCoO4 at its relaxed geometry.

```
data_Li2MnCoO4
_chemical_formula_sum 'Li4 Mn2 Co2 O8'
_cell_length_a 5.069
_cell_length_b 5.734
_cell_length_c 4.874
_cell_angle_alpha 90.00
_cell_angle_beta 108.54
_cell_angle_gamma 90.00
_symmetry_space_group_name_H-M 'P 1 2/c 1'
_symmetry_Int_Tables_number 13
_symmetry_space_group_name_Hall '-P 2yc'
loop_
_atom_site_label
_atom_site_fract_x
_atom_site_fract_y
_atom_site_fract_z
_atom_site_occupancy
Li1 0.000 0.119 0.250 1
Li2 0.000 0.375 0.750 1
Mn1 0.500 0.372 0.250 1
Co1 0.500 0.105 0.750 1
O1 0.257 0.146 0.011 1
O2 0.281 0.386 0.501 1
```

Summary:
- magnetic moment (μB/cell) = 12.02
- polymorph energy (0 for the lowest one) (meV/atom) = 18
- Fermi-level density of states (states/eV/cell) = 3.22

=====

Record 2
Density functional theory data (PBEsol) for crystalline SeN2Cl at its relaxed geometry.

```
data_SeN2Cl
_chemical_formula_sum 'Se3 N6 Cl3'
_cell_length_a 3.5249
_cell_length_b 3.5249
_cell_length_c 18.7806
_cell_angle_alpha 90.00
_cell_angle_beta 90.00
_cell_angle_gamma 120.00
_symmetry_space_group_name_H-M 'R -3 m'
_symmetry_Int_Tables_number 166
_symmetry_space_group_name_Hall '-R 3 2"'
loop_
_atom_site_label
_atom_site_fract_x
_atom_site_fract_y
_atom_site_fract_z
_atom_site_occupancy
Se1 0.0000 0.0000 0.0000 1
N1 0.0000 0.0000 0.0931 1
Cl1 0.0000 0.0000 0.5000 1
```

Summary:
- magnetic moment (μB/cell) = 0.00
- polymorph energy (0 for the lowest one) (meV/atom) = 0
- Fermi-level density of states (states/eV/cell) = 7.84

=====

Record 3
Density functional theory data (PBEsol) for crystalline SrBPdAu2 at its relaxed geometry.

```
data_SrBPdAu2
_chemical_formula_sum 'Sr1 B1 Pd1 Au2'
_cell_length_a 5.014
_cell_length_b 5.014
_cell_length_c 5.292
_cell_angle_alpha 90.00
_cell_angle_beta 90.00
_cell_angle_gamma 90.00
_symmetry_space_group_name_H-M 'P 4/m m m'
_symmetry_Int_Tables_number 123
_symmetry_space_group_name_Hall '-P 4 2'
loop_
_atom_site_label
_atom_site_fract_x
_atom_site_fract_y
_atom_site_fract_z
_atom_site_occupancy
Sr1 0.000 0.000 0.000 1
B1 0.500 0.500 0.000 1
Pd1 0.000 0.000 0.500 1
Au1 0.000 0.500 0.500 1
```

Summary:
- magnetic moment (μB/cell) = 0.02
- energy of formation from the pure elements (eV per atom) = 1.10
- Fermi-level density of states (states/eV/cell) = 3.14

=====

Record 4
Density functional theory data (PBEsol) for crystalline TlPb at its relaxed geometry.

```
data_TlPb
_chemical_formula_sum 'Tl6 Pb6'
_cell_length_a 15.412
_cell_length_b 3.405
_cell_length_c 6.798
_cell_angle_alpha 90.00
_cell_angle_beta 102.60
_cell_angle_gamma 90.00
_symmetry_space_group_name_H-M 'C 1 m 1'
_symmetry_Int_Tables_number 8
_symmetry_space_group_name_Hall 'C -2y'
loop_
_atom_site_label
_atom_site_fract_x
_atom_site_fract_y
_atom_site_fract_z
_atom_site_occupancy
Tl1 0.000 0.000 0.000 1
Tl2 0.001 0.000 0.499 1
Tl3 0.335 0.000 0.166 1
Pb1 0.167 0.500 0.834 1
Pb2 0.168 0.500 0.331 1
Pb3 0.330 0.000 0.664 1
```

Summary:
- magnetic moment (μB/cell) = 0.00
- energy of formation from the pure elements (eV per atom) = -0.01
- Fermi-level density of states (states/eV/cell) = 5.40

=====

Record 5
Density functional theory data (PBEsol) for crystalline BiPRhO2 at its relaxed geometry.

```
data_BiPRhO2
_chemical_formula_sum 'Bi1 P1 Rh1 O2'
_cell_length_a 4.002
_cell_length_b 4.002
_cell_length_c 5.588
_cell_angle_alpha 90.00
_cell_angle_beta 90.00
_cell_angle_gamma 90.00
_symmetry_space_group_name_H-M 'P 4/m m m'
_symmetry_Int_Tables_number 123
_symmetry_space_group_name_Hall '-P 4 2'
loop_
_atom_site_label
_atom_site_fract_x
_atom_site_fract_y
_atom_site_fract_z
_atom_site_occupancy
Bi1 0.000 0.000 0.000 1
P1 0.000 0.000 0.500 1
Rh1 0.500 0.500 0.500 1
O1 0.000 0.500 0.000 1
```

Summary:
- E (eV/atom) = -5.19
- magnetic moment (μB/cell) = 1.52
- Fermi-level density of states (states/eV/cell) = 6.45

=====

Record 6
Density functional theory data (PBEsol) for crystalline CuSNO2 at its relaxed geometry.

```
data_CuSNO2
_chemical_formula_sum 'Cu1 S1 N1 O2'
_cell_length_a 3.645
_cell_length_b 3.645
_cell_length_c 3.787
_cell_angle_alpha 90.00
_cell_angle_beta 90.00
_cell_angle_gamma 90.00
_symmetry_space_group_name_H-M 'P 4/m m m'
_symmetry_Int_Tables_number 123
_symmetry_space_group_name_Hall '-P 4 2'
loop_
_atom_site_label
_atom_site_fract_x
_atom_site_fract_y
_atom_site_fract_z
_atom_site_occupancy
Cu1 0.000 0.000 0.000 1
S1 0.500 0.500 0.500 1
N1 0.000 0.000 0.500 1
O1 0.000 0.500 0.000 1
```

Summary:
- E (eV/atom) = -4.46
- magnetic moment (μB/cell) = 0.00
- Fermi-level density of states (states/eV/cell) = 3.77

=====

Record 7
Density functional theory data (PBEsol) for crystalline Mg2Nb2VO8 at its relaxed geometry.

```
data_Mg2Nb2VO8
_chemical_formula_sum 'Mg8 Nb8 V4 O32'
_cell_length_a 18.633
_cell_length_b 5.931
_cell_length_c 5.163
_cell_angle_alpha 90.00
_cell_angle_beta 91.34
_cell_angle_gamma 90.00
_symmetry_space_group_name_H-M 'C 1 2/c 1'
_symmetry_Int_Tables_number 15
_symmetry_space_group_name_Hall '-C 2yc'
loop_
_atom_site_label
_atom_site_fract_x
_atom_site_fract_y
_atom_site_fract_z
_atom_site_occupancy
Mg1 0.228 0.143 0.254 1
Nb1 0.113 0.335 0.746 1
V1 0.000 0.137 0.250 1
O1 0.055 0.122 0.920 1
O2 0.066 0.379 0.399 1
O3 0.186 0.401 0.043 1
O4 0.190 0.142 0.613 1
```

Summary:
- E (eV/atom) = -8.41
- magnetic moment (μB/cell) = 12.15
- Fermi-level density of states (states/eV/cell) = 10.39

=====

Record 8
Density functional theory data (PBEsol) for crystalline GdCu2Sn2 at its relaxed geometry.

```
data_GdCu2Sn2
_chemical_formula_sum 'Gd2 Cu4 Sn4'
_cell_length_a 4.338
_cell_length_b 4.338
_cell_length_c 10.574
_cell_angle_alpha 90.00
_cell_angle_beta 90.00
_cell_angle_gamma 90.00
_symmetry_space_group_name_H-M 'P 4/n m m'
_symmetry_Int_Tables_number 129
loop_
_symmetry_equiv_pos_as_xyz
'x,y,z'
'-x,-y,-z'
'-y+1/2,x,z'
'y+1/2,-x,-z'
'-x+1/2,-y+1/2,z'
'x+1/2,y+1/2,-z'
'y,-x+1/2,z'
'-y,x+1/2,-z'
'x+1/2,-y,-z'
'-x+1/2,y,z'
'-y,-x,-z'
'y,x,z'
'-x,y+1/2,-z'
'x,-y+1/2,z'
'y+1/2,x+1/2,-z'
'-y+1/2,-x+1/2,z'
loop_
_atom_site_label
_atom_site_fract_x
_atom_site_fract_y
_atom_site_fract_z
_atom_site_occupancy
Gd1 0.250 0.250 0.239 1
Cu1 0.250 0.250 0.638 1
Cu2 0.250 0.750 0.000 1
Sn1 0.250 0.250 0.871 1
Sn2 0.250 0.750 0.500 1
```

Summary:
- magnetic moment (μB/cell) = 14.01
- energy of formation from the pure elements (eV per atom) = -0.40
- Fermi-level density of states (states/eV/cell) = 4.33

=====

Record 9
Density functional theory data (PBEsol) for crystalline TaCo6Mo at its relaxed geometry.

```
data_TaCo6Mo
_chemical_formula_sum 'Ta8 Co48 Mo8'
_cell_length_a 7.120
_cell_length_b 10.071
_cell_length_c 10.079
_cell_angle_alpha 90.00
_cell_angle_beta 90.00
_cell_angle_gamma 90.00
_symmetry_space_group_name_H-M 'C m m m'
_symmetry_Int_Tables_number 65
_symmetry_space_group_name_Hall '-C 2 2'
loop_
_atom_site_label
_atom_site_fract_x
_atom_site_fract_y
_atom_site_fract_z
_atom_site_occupancy
Ta1 0.000 0.000 0.250 1
Ta2 0.000 0.249 0.000 1
Co1 0.000 0.000 0.000 1
Co2 0.000 0.000 0.500 1
Co3 0.000 0.252 0.254 1
Co4 0.000 0.500 0.000 1
Co5 0.000 0.500 0.500 1
Co6 0.246 0.376 0.127 1
Co7 0.247 0.374 0.377 1
Mo1 0.000 0.249 0.500 1
Mo2 0.000 0.500 0.249 1
```

Summary:
- magnetic moment (μB/cell) = 0.01
- polymorph energy (0 for the lowest one) (meV/atom) = 21
- energy of formation from the pure elements (eV per atom) = -0.17
- Fermi-level density of states (states/eV/cell) = 57.01

=====

Record 10
Density functional theory data (PBEsol) for crystalline LiSc2Pb at its relaxed geometry.

```
data_LiSc2Pb
_chemical_formula_sum 'Li2 Sc4 Pb2'
_cell_length_a 4.276
_cell_length_b 4.276
_cell_length_c 9.507
_cell_angle_alpha 90.00
_cell_angle_beta 90.00
_cell_angle_gamma 90.00
_symmetry_space_group_name_H-M 'I -4 m 2'
_symmetry_Int_Tables_number 119
_symmetry_space_group_name_Hall 'I -4 -2'
loop_
_atom_site_label
_atom_site_fract_x
_atom_site_fract_y
_atom_site_fract_z
_atom_site_occupancy
Li1 0.000 0.000 0.000 1
Sc1 0.000 0.000 0.500 1
Sc2 0.000 0.500 0.750 1
Pb1 0.000 0.500 0.250 1
```

Summary:
- magnetic moment (μB/cell) = 0.00
- energy of formation from the pure elements (eV per atom) = -0.19
- Fermi-level density of states (states/eV/cell) = 9.35

=====

Record 11
Density functional theory data (PBEsol) for crystalline Sm4EuS5 at its relaxed geometry.

```
data_Sm4EuS5
_chemical_formula_sum 'Sm12 Eu3 S15'
_cell_length_a 3.9748
_cell_length_b 3.9748
_cell_length_c 48.5356
_cell_angle_alpha 90.00
_cell_angle_beta 90.00
_cell_angle_gamma 120.00
_symmetry_space_group_name_H-M 'R -3 m'
_symmetry_Int_Tables_number 166
_symmetry_space_group_name_Hall '-R 3 2"'
loop_
_atom_site_label
_atom_site_fract_x
_atom_site_fract_y
_atom_site_fract_z
_atom_site_occupancy
Sm1 0.0000 0.0000 0.0985 1
Sm2 0.0000 0.0000 0.3001 1
Eu1 0.0000 0.0000 0.5000 1
S1 0.0000 0.0000 0.0000 1
S2 0.0000 0.0000 0.2011 1
S3 0.0000 0.0000 0.3993 1
```

Summary:
- E (eV/atom) = -7.44
- magnetic moment (μB/cell) = 20.78
- Fermi-level density of states (states/eV/cell) = 10.77

=====

Record 12
Density functional theory data (PBEsol) for crystalline Y2InSe at its relaxed geometry.

```
data_Y2InSe
_chemical_formula_sum 'Y6 In3 Se3'
_cell_length_a 3.8877
_cell_length_b 3.8877
_cell_length_c 23.4130
_cell_angle_alpha 90.00
_cell_angle_beta 90.00
_cell_angle_gamma 120.00
_symmetry_space_group_name_H-M 'R -3 m'
_symmetry_Int_Tables_number 166
_symmetry_space_group_name_Hall '-R 3 2"'
loop_
_atom_site_label
_atom_site_fract_x
_atom_site_fract_y
_atom_site_fract_z
_atom_site_occupancy
Y1 0.0000 0.0000 0.2403 1
In1 0.0000 0.0000 0.0000 1
Se1 0.0000 0.0000 0.5000 1
```

Summary:
- magnetic moment (μB/cell) = 0.00
- polymorph energy (0 for the lowest one) (meV/atom) = 0
- Fermi-level density of states (states/eV/cell) = 6.31

=====

Copy entry 5 word for word.
Density functional theory data (PBEsol) for crystalline BiPRhO2 at its relaxed geometry.

```
data_BiPRhO2
_chemical_formula_sum 'Bi1 P1 Rh1 O2'
_cell_length_a 4.002
_cell_length_b 4.002
_cell_length_c 5.588
_cell_angle_alpha 90.00
_cell_angle_beta 90.00
_cell_angle_gamma 90.00
_symmetry_space_group_name_H-M 'P 4/m m m'
_symmetry_Int_Tables_number 123
_symmetry_space_group_name_Hall '-P 4 2'
loop_
_atom_site_label
_atom_site_fract_x
_atom_site_fract_y
_atom_site_fract_z
_atom_site_occupancy
Bi1 0.000 0.000 0.000 1
P1 0.000 0.000 0.500 1
Rh1 0.500 0.500 0.500 1
O1 0.000 0.500 0.000 1
```

Summary:
- E (eV/atom) = -5.19
- magnetic moment (μB/cell) = 1.52
- Fermi-level density of states (states/eV/cell) = 6.45

=====

- Look up the Fermi-level density of states of the second one.
  7.84 states/eV/cell